A relaxed structure of SrMnSbH2. Source: Alexandria via LeMat-Bulk, functional PBE.

Cell lengths 4.350, 4.350, 6.700 Å; angles 90.00, 90.00, 90.00 degrees
Atoms (fractional coordinates):
Sr: 0.000 0.000 0.000
Mn: 0.500 0.500 0.000
Sb: 0.000 0.000 0.500
H: 0.000 0.500 0.500
H: 0.500 0.000 0.500

Results
* V: 126.8 Å³ per cell
* final energy: -0.1312 hartree per atom
* total magnetization: 4.03 μB/f.u.

***

A relaxed structure of Mn2TcSbH. Source: Alexandria via LeMat-Bulk, functional PBE.

Cell lengths 3.943, 3.943, 3.991 Å; angles 90.00, 90.00, 90.00 degrees
Atoms (fractional coordinates):
Mn: 0.000 0.500 0.000
Mn: 0.500 0.000 0.000
Tc: 0.000 0.000 0.500
Sb: 0.500 0.500 0.500
H: 0.000 0.000 0.000

Results
* V: 62.1 Å³ per cell
* final energy: -0.2642 hartree per atom
* total magnetization: 5.93 μB/f.u.

***

A relaxed structure of MnTc2SbH. Source: Alexandria via LeMat-Bulk, functional PBE.

Cell lengths 4.298, 4.298, 3.458 Å; angles 90.00, 90.00, 90.00 degrees
Atoms (fractional coordinates):
Mn: 0.000 0.000 0.000
Tc: 0.000 0.500 0.500
Tc: 0.500 0.000 0.500
Sb: 0.500 0.500 0.000
H: 0.000 0.000 0.500

Results
* V: 63.9 Å³ per cell
* final energy: -0.2715 hartree per atom
* total magnetization: 3.08 μB/f.u.

***

Please write out number 2 again, unchanged.
A relaxed structure of Mn2TcSbH. Source: Alexandria via LeMat-Bulk, functional PBE.

Cell lengths 3.943, 3.943, 3.991 Å; angles 90.00, 90.00, 90.00 degrees
Atoms (fractional coordinates):
Mn: 0.000 0.500 0.000
Mn: 0.500 0.000 0.000
Tc: 0.000 0.000 0.500
Sb: 0.500 0.500 0.500
H: 0.000 0.000 0.000

Results
* V: 62.1 Å³ per cell
* final energy: -0.2642 hartree per atom
* total magnetization: 5.93 μB/f.u.

***

Which of these has the highest total magnetization? Mn2TcSbH

***

total magnetization of number 1 (SrMnSbH2)? 4.03 μB/f.u.

***

The highest V belongs to which entry? SrMnSbH2